a | VASP calculation (PBE-GGA) on a relaxed structure of Ba4Sr.

The structure in POSCAR format:
```
Ba4Sr
1.0
-4.5606 4.5606 4.5606
4.5606 -4.5606 4.5606
4.5606 4.5606 -4.5606
Sr Ba
1 4
Direct
0.0000 0.0000 0.0000
0.0000 0.0000 0.5000
0.5000 0.0000 0.0000
0.5000 0.5000 0.5000
0.0000 0.5000 0.0000
```

Output
Total magnetic moment = 0.018 μB per atom
N(E_F) = 2.287 states/eV/atom

---

b | VASP calculation (PBE-GGA) on a relaxed structure of Ba4Sr.

The structure in POSCAR format:
```
Ba4Sr
1.0
-4.1136 2.7052 5.1933
-1.4165 -6.6178 2.3253
5.6817 0.3087 4.3396
Ba Sr
4 1
Direct
0.5000 0.5000 0.0000
0.0000 0.5000 0.5000
0.5000 0.0000 0.5000
0.0000 0.0000 0.0000
0.5000 0.5000 0.5000
```

Output
Total magnetic moment = 0.608 μB per atom
N(E_F) = 1.725 states/eV/atom

---

Relative to the most stable structure, the computed energies are a 0.000; b 0.012, all in eV/atom.